Entry 1:
BaGeHAu2: relaxed, PBE.

Structure (extended XYZ):
```
5
Lattice="4.798 0.000 0.000 0.000 4.798 0.000 0.000 0.000 6.665" Properties=species:S:1:pos:R:3 pbc="T T T"
Ba 0.000 0.000 0.000
Ge 0.000 0.000 3.333
H 2.399 2.399 0.000
Au 0.000 2.399 3.333
Au 2.399 0.000 3.333
```

Summary:
Its uncorrected energy is -3.233 eV/atom. The polymorph energy (0 for the lowest one) comes out at 155 kJ/mol of formula units. Its space group is P4/mmm (123). Its total magnetization is 0.0 μB/cell.

Entry 2:
Ba2GeHAu: relaxed, PBE.

Structure (extended XYZ):
```
5
Lattice="5.834 0.000 0.000 0.000 5.834 0.000 0.000 0.000 3.962" Properties=species:S:1:pos:R:3 pbc="T T T"
Ba 0.000 2.917 0.000
Ba 2.917 0.000 0.000
Ge 0.000 0.000 1.981
H 2.917 2.917 0.000
Au 2.917 2.917 1.981
```

Summary:
Its uncorrected energy is -3.470 eV/atom. Its space group is P4/mmm (123). Its total magnetization is 0.0 μB/cell.

What did the first record say?
BaGeHAu2: relaxed, PBE.

Structure (extended XYZ):
```
5
Lattice="4.798 0.000 0.000 0.000 4.798 0.000 0.000 0.000 6.665" Properties=species:S:1:pos:R:3 pbc="T T T"
Ba 0.000 0.000 0.000
Ge 0.000 0.000 3.333
H 2.399 2.399 0.000
Au 0.000 2.399 3.333
Au 2.399 0.000 3.333
```

Summary:
Its uncorrected energy is -3.233 eV/atom. The polymorph energy (0 for the lowest one) comes out at 155 kJ/mol of formula units. Its space group is P4/mmm (123). Its total magnetization is 0.0 μB/cell.

Among the records above, which one has the lowest uncorrected energy? Ba2GeHAu

Which formula does entry 2 have? Ba2GeHAu